First-principles (GGA+U) data for a relaxed structure of MgNiPbO4, as listed in Alexandria via LeMat-Bulk.

Density ... 6.67 g cm⁻³
VASP energy ... -5.40 eV per atom
Space-group type ... Imma, No. 74
Volume ... 12.61 Å³/atom

Unit cell a=6.2706 b=6.2706 c=6.2706 alpha=120.54 beta=117.68 gamma=91.56
Fractional positions:
1 Mg 0.3826 0.1326 0.2500
2 Mg 0.6174 0.8674 0.7500
3 Ni 0.0000 0.0000 0.5000
4 Ni 0.0000 0.5000 0.0000
5 Pb 0.0000 0.5000 0.5000
6 Pb 0.5000 0.5000 0.0000
7 O 0.2251 0.7458 0.4794
8 O 0.2336 0.2542 0.9794
9 O 0.2413 0.2464 0.5051
10 O 0.2413 0.7362 0.9949
11 O 0.7587 0.2638 0.0051
12 O 0.7587 0.7536 0.4949
13 O 0.7664 0.7458 0.0206
14 O 0.7749 0.2542 0.5206